A plane-wave DFT calculation with PBE was carried out for crystalline Rb2In4Ga3Pb at its relaxed geometry.

The structure in POSCAR format:
```
Rb2In4Ga3Pb
1.0
4.952 0.000 0.000
0.000 4.952 0.000
0.000 0.000 12.203
Rb In Ga Pb
2 4 3 1
direct
0.000 0.500 0.245
0.500 0.000 0.755
0.000 0.000 0.000
0.000 0.500 0.644
0.500 0.000 0.356
0.500 0.500 0.000
0.000 0.500 0.873
0.500 0.000 0.127
0.500 0.500 0.500
0.000 0.000 0.500
```

Properties
calculated total energy = -2.667 eV/atom
DFT formation energy = -0.10 eV/atom
density of states at the Fermi level = 4.4 states/eV per cell


A plane-wave DFT calculation with PBE was carried out for crystalline InGaPbS4 at its relaxed geometry.

The structure in POSCAR format:
```
InGaPbS4
1.0
6.400 0.000 0.000
0.000 7.158 0.000
-1.745 0.000 7.610
In Ga Pb S
2 2 2 8
direct
0.222 0.250 0.365
0.778 0.750 0.635
0.277 0.750 0.681
0.723 0.250 0.319
0.289 0.250 0.942
0.711 0.750 0.058
0.012 0.750 0.427
0.091 0.750 0.903
0.474 0.012 0.266
0.474 0.488 0.266
0.526 0.512 0.734
0.526 0.988 0.734
0.909 0.250 0.097
0.988 0.250 0.573
```

Properties
calculated total energy = -4.183 eV/atom


A plane-wave DFT calculation with PBE was carried out for crystalline In2GaPbS6 at its relaxed geometry.

The structure in POSCAR format:
```
In2GaPbS6
1.0
6.599 -6.456 0.000
6.599 6.456 0.000
-3.361 0.000 6.760
In Ga Pb S
4 2 2 12
direct
0.095 0.259 0.121
0.259 0.095 0.621
0.741 0.905 0.379
0.905 0.741 0.879
0.327 0.673 0.250
0.673 0.327 0.750
0.376 0.624 0.750
0.624 0.376 0.250
0.043 0.177 0.391
0.142 0.611 0.950
0.177 0.043 0.891
0.327 0.445 0.327
0.389 0.858 0.550
0.445 0.327 0.827
0.555 0.673 0.173
0.611 0.142 0.450
0.673 0.555 0.673
0.823 0.957 0.109
0.858 0.389 0.050
0.957 0.823 0.609
```

Properties
calculated total energy = -4.115 eV/atom